(1)
An optimized crystal structure of YBeCoPb, computed with PBE.

Calculated values
Space-group type = F-43m, No. 216
Energy above the lowest structure with this stoichiometry = 243.4 meV per atom
Crystal system = cubic

```
YBeCoPb
1.0
0.0000 3.3398 3.3398
3.3398 0.0000 3.3398
3.3398 3.3398 0.0000
Co Y Pb Be
1 1 1 1
Direct
0.0000 0.0000 0.0000
0.2500 0.2500 0.2500
0.5000 0.5000 0.5000
0.7500 0.7500 0.7500
```

=====

(2)
An optimized crystal structure of BeHgTeO, computed with PBE.

Calculated values
Space-group type = P4/nmm, No. 129
Energy above the lowest structure with this stoichiometry = 134.4 meV per atom
Crystal system = tetragonal

```
BeHgTeO
1.0
3.2992 0.0000 0.0000
0.0000 3.2992 0.0000
0.0000 0.0000 14.5588
Be O Te Hg
2 2 2 2
Direct
0.2500 0.2500 0.5004
0.7500 0.7500 0.4996
0.2500 0.7500 0.5000
0.7500 0.2500 0.5000
0.2500 0.2500 0.0877
0.7500 0.7500 0.9123
0.7500 0.7500 0.2811
0.2500 0.2500 0.7189
```

=====

(3)
An optimized crystal structure of NbCuAgPb, computed with PBE.

Calculated values
Space-group type = F-43m, No. 216
Energy above the lowest structure with this stoichiometry = 68.0 meV per atom
Crystal system = cubic

```
NbCuAgPb
1.0
0.1802 -3.6964 -2.9635
-3.9544 -1.5359 -2.1172
-0.6070 0.6621 -4.6553
Nb Pb Ag Cu
1 1 1 1
Direct
0.5000 0.5000 0.5000
0.0000 0.0000 0.0000
0.2500 0.2500 0.2500
0.7500 0.7500 0.7500
```

=====

(4)
An optimized crystal structure of Rb2GaHgCl6, computed with PBE.

Calculated values
Space-group type = Fm-3m, No. 225
Total DFT energy (no corrections) = -2.91 eV/atom
Crystal system = cubic

```
Rb2GaHgCl6
1.0
0.0000 5.2230 5.2230
5.2230 0.0000 5.2230
5.2230 5.2230 0.0000
Cl Ga Rb Hg
6 1 2 1
Direct
0.7677 0.7677 0.2323
0.7677 0.2323 0.2323
0.2323 0.2323 0.7677
0.2323 0.7677 0.2323
0.7677 0.2323 0.7677
0.2323 0.7677 0.7677
0.0000 0.0000 0.0000
0.2500 0.2500 0.2500
0.7500 0.7500 0.7500
0.5000 0.5000 0.5000
```

=====

(5)
An optimized crystal structure of InAg3GeSe4, computed with PBE.

Calculated values
Space-group type = P-43m, No. 215
Energy above the lowest structure with this stoichiometry = 21.6 meV per atom
Crystal system = cubic

```
InAg3GeSe4
1.0
-4.6048 2.0364 3.6828
-4.0971 -0.9226 -4.6127
-0.9611 -5.8238 2.0186
Se Ag Ge In
4 3 1 1
Direct
0.2474 0.2474 0.2474
0.7526 0.2474 0.7526
0.7526 0.7526 0.2474
0.2474 0.7526 0.7526
0.5000 0.5000 0.0000
0.5000 0.0000 0.5000
0.0000 0.5000 0.5000
0.5000 0.5000 0.5000
0.0000 0.0000 0.0000
```

=====

(6)
An optimized crystal structure of GdFeNi, computed with PBE.

Calculated values
Space-group type = F-43m, No. 216
Energy of formation = 346 meV per atom
Crystal system = cubic

```
GdFeNi
1.0
-3.0650 2.2353 2.0116
-3.1731 1.8066 -2.2595
-3.9863 -1.5748 0.2589
Fe Ni Gd
1 1 1
Direct
0.0000 0.0000 0.0000
0.7500 0.7500 0.7500
0.2500 0.2500 0.2500
```

=====

(7)
An optimized crystal structure of ErZnIn, computed with PBE.

Calculated values
Space-group type = P6_3/mmc, No. 194
Total DFT energy (no corrections) = -3.06 eV/atom
Crystal system = hexagonal

```
ErZnIn
1.0
5.0756 0.0000 0.0000
-2.5378 4.3956 0.0000
0.0000 0.0000 6.1230
In Zn Er
2 2 2
Direct
0.6667 0.3333 0.7500
0.3333 0.6667 0.2500
0.0000 0.0000 0.0000
0.0000 0.0000 0.5000
0.3333 0.6667 0.7500
0.6667 0.3333 0.2500
```

=====

(8)
An optimized crystal structure of GdSbPd, computed with PBE.

Calculated values
Space-group type = P-62m, No. 189
Total DFT energy (no corrections) = -5.62 eV/atom
Crystal system = hexagonal

```
GdSbPd
1.0
-4.4433 1.8303 -5.7570
-3.0080 -1.9096 6.5987
0.0933 4.0148 1.2044
Pd Gd Sb
3 3 3
Direct
0.6667 0.3333 0.5000
0.0000 0.0000 0.0000
0.3333 0.6667 0.5000
0.6095 0.0000 0.0000
0.3905 0.3905 0.0000
0.0000 0.6095 0.0000
0.0000 0.2748 0.5000
0.7252 0.7252 0.5000
0.2748 0.0000 0.5000
```

=====

(9)
An optimized crystal structure of HoAlHg2, computed with PBE.

Calculated values
Space-group type = Amm2, No. 38
Total DFT energy (no corrections) = -2.53 eV/atom
Crystal system = orthorhombic

```
HoAlHg2
1.0
4.8574 0.0000 0.0000
0.0000 3.2613 5.6048
0.0000 -3.2613 5.6048
Al Hg Ho
2 4 2
Direct
0.5000 0.6985 0.1506
0.5000 0.1506 0.6985
0.0000 0.8325 0.8325
0.0000 0.3236 0.8223
0.0000 0.8223 0.3236
0.5000 0.1709 0.1709
0.0000 0.3344 0.3344
0.5000 0.6672 0.6672
```

=====

(10)
An optimized crystal structure of MgUBe, computed with PBE.

Calculated values
Space-group type = F-43m, No. 216
Energy above the lowest structure with this stoichiometry = 0.0 meV per atom
Crystal system = cubic

```
MgUBe
1.0
0.0000 3.1646 3.1646
3.1646 0.0000 3.1646
3.1646 3.1646 0.0000
Mg U Be
1 1 1
Direct
0.2500 0.2500 0.2500
0.7500 0.7500 0.7500
0.0000 0.0000 0.0000
```

=====

(11)
An optimized crystal structure of Ta2NbOs, computed with PBE.

Calculated values
Space-group type = Ama2, No. 40
Energy of formation = -305 meV per atom
Energy above the lowest structure with this stoichiometry = 10.0 meV per atom
Crystal system = orthorhombic

```
Ta2NbOs
1.0
5.1850 0.0000 0.0000
0.0000 3.6459 3.6461
0.0000 -3.6459 3.6461
Ta Nb Os
4 2 2
Direct
0.7500 0.7498 0.9996
0.0000 0.5005 0.5005
0.2500 0.9996 0.7498
0.5000 0.5005 0.5005
0.2500 0.9996 0.2502
0.7500 0.2502 0.9996
0.2500 0.5008 0.9992
0.7500 0.9992 0.5008
```

=====

(12)
An optimized crystal structure of BaMg2HgH8, computed with PBE.

Calculated values
Space-group type = P-3m1, No. 164
Total DFT energy (no corrections) = -2.57 eV/atom
Crystal system = trigonal

```
BaMg2HgH8
1.0
4.6796 0.0000 0.0000
-2.3398 4.0526 0.0000
0.0000 0.0000 7.1955
Hg H Ba Mg
1 8 1 2
Direct
0.0000 0.0000 0.0000
0.1914 0.3827 0.8219
0.3333 0.6667 0.4147
0.6667 0.3333 0.5853
0.6173 0.8086 0.8219
0.8086 0.1914 0.1781
0.1914 0.8086 0.8219
0.8086 0.6173 0.1781
0.3827 0.1914 0.1781
0.0000 0.0000 0.5000
0.3333 0.6667 0.1622
0.6667 0.3333 0.8378
```

=====

(13)
An optimized crystal structure of ScSiPd2, computed with PBE.

Calculated values
Space-group type = F-43m, No. 216
Total DFT energy (no corrections) = -6.14 eV/atom
Crystal system = cubic

```
ScSiPd2
1.0
0.0000 3.1655 3.1655
3.1655 0.0000 3.1655
3.1655 3.1655 0.0000
Si Pd Sc
1 2 1
Direct
0.5000 0.5000 0.5000
0.0000 0.0000 0.0000
0.7500 0.7500 0.7500
0.2500 0.2500 0.2500
```

=====

(14)
An optimized crystal structure of SrHgNO, computed with PBE.

Calculated values
Space-group type = Pmc2_1, No. 26
Energy above the lowest structure with this stoichiometry = 17.9 meV per atom
Crystal system = orthorhombic

```
SrHgNO
1.0
3.2466 -0.3688 -2.0862
3.3082 1.1649 4.9424
0.1536 -5.8054 1.2654
N Sr Hg O
2 2 2 2
Direct
0.0000 0.4410 0.5794
0.0000 0.9410 0.4206
0.0000 0.5342 0.1574
0.0000 0.0342 0.8426
0.5000 0.0068 0.3214
0.5000 0.5068 0.6786
0.5000 0.2720 0.0358
0.5000 0.7720 0.9642
```

=====

(15)
An optimized crystal structure of SrFeCuS3, computed with PBE.

Calculated values
Space-group type = P2_1/m, No. 11
Energy above the lowest structure with this stoichiometry = 0.0 meV per atom
Crystal system = monoclinic

```
SrFeCuS3
1.0
-2.8979 -6.5310 -2.8608
3.2273 -1.7542 0.7356
-1.8261 0.1270 8.3152
Fe S Cu Sr
2 6 2 2
Direct
0.3277 0.7500 0.3445
0.6723 0.2500 0.6555
0.8863 0.7500 0.6327
0.7619 0.2500 0.9623
0.1137 0.2500 0.3673
0.5463 0.2500 0.3528
0.2381 0.7500 0.0377
0.4537 0.7500 0.6472
0.0893 0.2500 0.0952
0.9107 0.7500 0.9048
0.7943 0.7500 0.2583
0.2057 0.2500 0.7417
```

=====

(16)
An optimized crystal structure of BaGdSc, computed with PBE.

Calculated values
Space-group type = F-43m, No. 216
Energy above the lowest structure with this stoichiometry = 0.0 meV per atom
Crystal system = cubic

```
BaGdSc
1.0
0.0000 3.9608 3.9608
3.9608 0.0000 3.9608
3.9608 3.9608 0.0000
Ba Sc Gd
1 1 1
Direct
0.2500 0.2500 0.2500
0.0000 0.0000 0.0000
0.7500 0.7500 0.7500
```

=====

(17)
An optimized crystal structure of PrFe3, computed with PBE.

Calculated values
Space-group type = Fm-3m, No. 225
Energy of formation = 465 meV per atom
Crystal system = cubic

```
PrFe3
1.0
-0.6677 0.4700 4.4122
-3.8204 -1.4451 1.8575
0.0271 -3.6063 2.6699
Fe Pr
3 1
Direct
0.0000 0.0000 0.0000
0.2500 0.2500 0.2500
0.5000 0.5000 0.5000
0.7500 0.7500 0.7500
```

=====

(18)
An optimized crystal structure of LiLaCoBi, computed with PBE.

Calculated values
Space-group type = F-43m, No. 216
Energy above the lowest structure with this stoichiometry = 0.0 meV per atom
Crystal system = cubic

```
LiLaCoBi
1.0
0.0000 3.4059 3.4059
3.4059 0.0000 3.4059
3.4059 3.4059 0.0000
Li La Bi Co
1 1 1 1
Direct
0.7500 0.7500 0.7500
0.5000 0.5000 0.5000
0.0000 0.0000 0.0000
0.2500 0.2500 0.2500
```

=====

(19)
An optimized crystal structure of NiSbOsPt, computed with PBE.

Calculated values
Space-group type = F-43m, No. 216
Total DFT energy (no corrections) = -6.26 eV/atom
Crystal system = cubic

```
NiSbOsPt
1.0
1.0095 -4.1570 -1.2905
-3.2276 -2.7444 -1.4197
-0.2414 -1.1192 -4.3190
Pt Ni Os Sb
1 1 1 1
Direct
0.2500 0.2500 0.2500
0.7500 0.7500 0.7500
0.5000 0.5000 0.5000
0.0000 0.0000 0.0000
```

=====

(20)
An optimized crystal structure of CuF2, computed with PBE.

Calculated values
Space-group type = Pnnm, No. 58
Total DFT energy (no corrections) = -3.94 eV/atom
Crystal system = orthorhombic

```
CuF2
1.0
4.5454 0.0000 0.0000
0.0000 4.6066 0.0000
0.0000 0.0000 3.0935
F Cu
4 2
Direct
0.7989 0.2045 0.0000
0.2011 0.7955 0.0000
0.2989 0.2955 0.5000
0.7011 0.7045 0.5000
0.0000 0.0000 0.5000
0.5000 0.5000 0.0000
```

=====

(21)
An optimized crystal structure of LiCoB, computed with PBE.

Calculated values
Space-group type = F-43m, No. 216
Total DFT energy (no corrections) = -5.07 eV/atom
Crystal system = cubic

```
LiCoB
1.0
0.0000 2.4120 2.4120
2.4120 0.0000 2.4120
2.4120 2.4120 0.0000
Li Co B
1 1 1
Direct
0.7500 0.7500 0.7500
0.2500 0.2500 0.2500
0.0000 0.0000 0.0000
```

=====

(22)
An optimized crystal structure of BaBMo, computed with PBE.

Calculated values
Space-group type = F-43m, No. 216
Energy above the lowest structure with this stoichiometry = 0.0 meV per atom
Crystal system = cubic

```
BaBMo
1.0
2.5546 -2.9628 2.3918
-0.2949 -0.1095 4.5744
-1.9797 -3.5719 2.0849
Mo B Ba
1 1 1
Direct
0.7500 0.7500 0.7500
0.0000 0.0000 0.0000
0.2500 0.2500 0.2500
```

=====

(23)
An optimized crystal structure of TbZrZn, computed with PBE.

Calculated values
Space-group type = F-43m, No. 216
Energy of formation = 203 meV per atom
Energy above the lowest structure with this stoichiometry = 0.0 meV per atom
Crystal system = cubic

```
TbZrZn
1.0
0.0000 3.3535 3.3535
3.3535 0.0000 3.3535
3.3535 3.3535 0.0000
Zr Zn Tb
1 1 1
Direct
0.7500 0.7500 0.7500
0.0000 0.0000 0.0000
0.2500 0.2500 0.2500
```

=====

(24)
An optimized crystal structure of Cd2MoN, computed with PBE.

Calculated values
Space-group type = P6_3/mmc, No. 194
Total DFT energy (no corrections) = -4.32 eV/atom
Crystal system = hexagonal

```
Cd2MoN
1.0
3.0339 0.0000 0.0000
-1.5169 2.6274 0.0000
0.0000 0.0000 15.7124
Cd N Mo
4 2 2
Direct
0.6667 0.3333 0.5972
0.6667 0.3333 0.9028
0.3333 0.6667 0.4028
0.3333 0.6667 0.0972
0.0000 0.0000 0.0000
0.0000 0.0000 0.5000
0.6667 0.3333 0.2500
0.3333 0.6667 0.7500
```

=====

(25)
An optimized crystal structure of GdErPu, computed with PBE.

Calculated values
Space-group type = F-43m, No. 216
Energy of formation = 829 meV per atom
Energy above the lowest structure with this stoichiometry = 0.0 meV per atom
Crystal system = cubic

```
GdErPu
1.0
3.0419 -0.3848 4.2762
0.5923 4.1434 3.1888
-2.1831 -0.0313 4.7875
Er Pu Gd
1 1 1
Direct
0.0000 0.0000 0.0000
0.7500 0.7500 0.7500
0.2500 0.2500 0.2500
```

=====

(26)
An optimized crystal structure of AcHoLu, computed with PBE.

Calculated values
Space-group type = F-43m, No. 216
Energy of formation = 863 meV per atom
Energy above the lowest structure with this stoichiometry = 180.5 meV per atom
Crystal system = cubic

```
AcHoLu
1.0
-1.2870 -5.2284 -1.5965
1.6205 -4.3714 3.1314
-3.8089 -2.9577 2.8784
Ac Lu Ho
1 1 1
Direct
0.0000 0.0000 0.0000
0.7500 0.7500 0.7500
0.2500 0.2500 0.2500
```

=====

(27)
An optimized crystal structure of NpZn2, computed with PBE.

Calculated values
Space-group type = Pmmn, No. 59
Energy of formation = 87 meV per atom
Crystal system = orthorhombic

```
NpZn2
1.0
-1.7604 -4.5197 -2.9783
5.3584 -5.4027 5.0318
-3.0750 -0.5623 2.6709
Np Zn
4 8
Direct
0.9588 0.0067 0.0000
0.8746 0.5067 0.5000
0.8746 0.1599 0.5000
0.9588 0.6599 0.0000
0.4842 0.5049 0.0000
0.3491 0.0049 0.5000
0.3491 0.6618 0.5000
0.7203 0.8333 0.5000
0.4842 0.1618 0.0000
0.4416 0.8333 0.0000
0.3917 0.3333 0.5000
0.1130 0.3333 0.0000
```